A geometry-optimized CaSb2TeI structure, computed with GGA-PBE.

final energy	-2.56	eV per atom
energy above the lowest structure with this stoichiometry	1.19	eV/f.u.
Fermi-level density of states	4.71	states/eV/cell
formation energy from raw total energies	430	meV per atom

a b c (Å): 5.7940 5.7940 5.8148
angles (deg): 90.00 90.00 90.00
Space group P4/mmm (No. 123)
Symmetry-distinct sites (fractional):
Ca  0.0000  0.0000  0.0000 x1
Sb  0.0000  0.5000  0.5000 x2
Te  0.5000  0.5000  0.0000 x1
I  0.5000  0.5000  0.5000 x1